No. 1
Computed, not measured: LaCeEu2 after structural relaxation at the GGA-PBE level of DFT.

The structure in POSCAR format:
```
LaCeEu2
1.0
5.983 0.000 0.000
2.991 5.181 0.000
2.991 1.727 4.882
Ce Eu La
1 2 1
Cartesian
0.000 0.000 0.000
2.991 1.727 1.221
8.974 5.181 3.661
5.983 3.454 2.441
```

## Properties
E in Ha/atom: -0.2808
ρ in Mg/m³: 6.40

No. 2
Computed, not measured: LaCeEuSn after structural relaxation at the GGA-PBE level of DFT.

The structure in POSCAR format:
```
LaCeEuSn
1.0
-5.088 -2.313 -0.558
-0.486 -5.381 -1.537
-1.765 -3.832 3.708
La Sn Ce Eu
1 1 1 1
Cartesian
-1.835 -2.881 0.403
0.000 0.000 0.000
-5.505 -8.644 1.210
-3.670 -5.763 0.806
```

## Properties
E in Ha/atom: -0.2397
ρ in Mg/m³: 7.28

Repeat the first record exactly.
Computed, not measured: LaCeEu2 after structural relaxation at the GGA-PBE level of DFT.

The structure in POSCAR format:
```
LaCeEu2
1.0
5.983 0.000 0.000
2.991 5.181 0.000
2.991 1.727 4.882
Ce Eu La
1 2 1
Cartesian
0.000 0.000 0.000
2.991 1.727 1.221
8.974 5.181 3.661
5.983 3.454 2.441
```

## Properties
E in Ha/atom: -0.2808
ρ in Mg/m³: 6.40